This record from the Alexandria database describes an optimized crystal structure of RuWF3. The functional is PBE+U.

Structure (extended XYZ):
```
5
Lattice="4.245 0.000 0.000 0.000 4.245 0.000 0.000 0.000 4.245" Properties=species:S:1:pos:R:3 pbc="T T T"
Ru 0.000 0.000 0.000
W 2.123 2.123 2.123
F 0.000 0.000 2.123
F 0.000 2.123 0.000
F 2.123 0.000 0.000
```

Summary:
E_tot   -0.3382 Ry per atom